# 1
Y3Mg: optimized geometry, GGA-PBEsol.

Calculated values
The calculated formation energy is 0.018 eV per atom. The calculation puts the uncorrected energy at -22.11 eV/f.u. As for the crystal system: orthorhombic.

abc: 3.4853 4.8426 6.8304
angles: 90.00 90.00 90.00
With the nearest neighbours (Å) after each atom.
Space group Pmmm (No. 47)
Inequivalent atoms, fractional coordinates:
Y 0.0000 0.0000 0.0000 (multiplicity 1)  2 Mg 3.42, 10 Y 3.45-3.49
Y 0.5000 0.5000 0.2529 (multiplicity 2)  8 Y 3.38-3.49, 4 Mg 3.43
Mg 0.0000 0.0000 0.5000 (multiplicity 1)  10 Y 3.42-3.43, 2 Mg 3.49

# 2
YMg: optimized geometry, GGA-PBEsol.

Calculated values
The calculated formation energy is -0.102 eV per atom. The calculation puts the uncorrected energy at -8.74 eV/f.u. As for the crystal system: cubic.

abc: 3.7565 3.7565 3.7565
angles: 90.00 90.00 90.00
With the nearest neighbours (Å) after each atom.
Space group Pm-3m (No. 221)
Inequivalent atoms, fractional coordinates:
Y 0.0000 0.0000 0.0000 (multiplicity 1)  8 Mg 3.25
Mg 0.5000 0.5000 0.5000 (multiplicity 1)  8 Y 3.25